Material: Ba4NaB10ClO18F2
Method: DFT, SCAN
State: single point on PBEsol structure

Results
size of the total moment: 0.0 μB per cell
crystal system: monoclinic
DOS at the Fermi energy: 0.000 states/eV per atom
energy: -13.04 eV/atom
uncorrected formation energy: -2935 meV per atom

Cell: 6.747 11.456 13.132 Å, 90.00 119.10 90.00°
Space group P2_1/c (No. 14)
Asymmetric unit:
1 Ba 0.141 0.206 0.468
2 Ba 0.196 0.033 0.196
3 Na 0.500 0.000 0.000
4 B 0.015 0.189 0.711
5 B 0.244 0.008 0.743
6 B 0.285 0.729 0.475
7 B 0.341 0.719 0.302
8 B 0.445 0.201 0.803
9 Cl 0.500 0.000 0.500
10 O 0.040 0.065 0.689
11 O 0.056 0.746 0.399
12 O 0.160 0.693 0.754
13 O 0.229 0.611 0.237
14 O 0.234 0.239 0.800
15 O 0.349 0.733 0.590
16 O 0.425 0.700 0.430
17 O 0.445 0.067 0.801
18 O 0.456 0.250 0.204
19 F 0.160 0.060 0.979